The following is a PBE calculation of Li2ErTl3 after structural relaxation, from Alexandria.

POSCAR file:
```
Li2ErTl3
1.0
-3.566 0.359 -0.122
-0.037 -1.473 -3.270
-1.130 -9.747 4.404
Er Tl Li
1 3 2
Direct
0.500 0.500 0.500
0.000 0.000 0.000
0.000 0.000 0.690
0.000 0.000 0.310
0.500 0.500 0.843
0.500 0.500 0.157
```

density of states at the Fermi level	0.4308	states/eV/atom
E_form	-0.25	eV/atom

***

The following is a PBE calculation of LiEr3Tl after structural relaxation, from Alexandria.

POSCAR file:
```
LiEr3Tl
1.0
6.626 0.000 0.000
0.000 8.800 1.510
0.000 1.026 9.667
Tl Er Li
4 12 4
Direct
0.250 0.352 0.412
0.750 0.648 0.088
0.750 0.648 0.588
0.250 0.352 0.912
0.501 0.796 0.301
0.001 0.204 0.199
0.250 0.572 0.607
0.001 0.204 0.699
0.499 0.204 0.199
0.501 0.796 0.801
0.750 0.428 0.893
0.750 0.428 0.393
0.499 0.204 0.699
0.999 0.796 0.301
0.250 0.572 0.107
0.999 0.796 0.801
0.250 0.987 0.003
0.750 0.013 0.997
0.250 0.987 0.503
0.750 0.013 0.497
```

density of states at the Fermi level	1.0247	states/eV/atom
E_form	-0.05	eV/atom

***

The following is a PBE calculation of LiErTl after structural relaxation, from Alexandria.

POSCAR file:
```
LiErTl
1.0
-0.637 -3.340 -0.448
-0.284 -0.594 4.839
-4.006 1.107 -2.563
Li Er Tl
1 1 1
Direct
0.167 0.667 0.333
0.667 0.333 0.667
0.167 0.000 0.000
```

density of states at the Fermi level	0.6206	states/eV/atom
E_form	-0.25	eV/atom

***

The following is a PBE calculation of LiErTl after structural relaxation, from Alexandria.

POSCAR file:
```
LiErTl
1.0
4.705 0.000 0.000
0.000 7.996 0.000
0.000 0.000 7.431
Tl Er Li
4 4 4
Direct
0.250 0.100 0.786
0.250 0.400 0.286
0.750 0.600 0.714
0.750 0.900 0.214
0.250 0.698 0.001
0.250 0.802 0.501
0.750 0.198 0.499
0.750 0.302 0.999
0.750 0.928 0.829
0.250 0.428 0.671
0.250 0.072 0.171
0.750 0.572 0.329
```

density of states at the Fermi level	0.9092	states/eV/atom
E_form	-0.26	eV/atom

***

- The highest density of states at the Fermi level belongs to which entry?
  LiEr3Tl